(1)
Density functional theory data (GGA-PBE) for a relaxed RbLaSiAs2 crystal.

a b c (Å): 5.6168 6.4881 5.6168
angles (deg): 90.00 90.00 90.00
Closest atoms and distances in Å follow each position.
Fractional coordinates of all 5 atoms:
As1 0.0000 0.0000 0.5000  2 La 2.81
As2 0.5000 0.0000 0.0000  2 La 2.81
Si1 0.5000 0.5000 0.5000  4 Rb 3.97, 8 As 4.29
Rb1 0.0000 0.5000 0.0000  2 La 3.24
La1 0.0000 0.0000 0.0000  4 As 2.81

## Properties
The volume comes out at 40.94 Å³ per atom. For the uncorrected formation energy, the calculation gives 0.80 eV per atom. As for the space group: P4/mmm (123). The density of states at the Fermi level is 6.3 states/eV per cell.

***

(2)
Density functional theory data (GGA-PBE) for a relaxed RbSrLa2As crystal.

a b c (Å): 5.9757 6.3060 5.9757
angles (deg): 90.00 90.00 90.00
Closest atoms and distances in Å follow each position.
Fractional coordinates of all 5 atoms:
Sr1 0.0000 0.5000 0.0000  2 As 3.15
As1 0.0000 0.0000 0.0000  4 La 2.99, 2 Sr 3.15
Rb1 0.5000 0.5000 0.5000  4 Sr 4.23, 8 La 4.34
La1 0.0000 0.0000 0.5000  2 As 2.99
La2 0.5000 0.0000 0.0000  2 As 2.99

## Properties
The volume comes out at 45.04 Å³ per atom. As for the space group: P4/mmm (123). The density of states at the Fermi level is 8.2 states/eV per cell. For the formation energy, the calculation gives -0.23 eV per atom.

***

(3)
Density functional theory data (GGA-PBE) for a relaxed RbLa2YAs crystal.

a b c (Å): 6.0733 5.5798 6.0733
angles (deg): 90.00 90.00 90.00
Closest atoms and distances in Å follow each position.
Fractional coordinates of all 5 atoms:
Y1 0.0000 0.0000 0.0000  2 As 2.79, 4 La 3.04
As1 0.0000 0.5000 0.0000  2 Y 2.79
Rb1 0.5000 0.5000 0.5000  8 La 4.12, 4 As 4.29
La1 0.0000 0.0000 0.5000  2 Y 3.04
La2 0.5000 0.0000 0.0000  2 Y 3.04

## Properties
The volume comes out at 41.16 Å³ per atom. As for the space group: P4/mmm (123). The density of states at the Fermi level is 4.6 states/eV per cell. For the formation energy, the calculation gives 0.32 eV per atom.

***

Number 1: magnetic moment 0.0 μB per formula unit. Number 2: magnetic moment 1.6 μB per formula unit. Number 3: magnetic moment 0.0 μB per formula unit.